No. 1
First-principles (PBE) data for Cs7BrCl2O2 after structural relaxation, as listed in the Alexandria database.

raw total energy = -3.17 eV per atom
uncorrected formation energy = -1.403 eV/atom

abc: 5.8687 5.8687 15.1421
angles: 101.08 101.08 89.99
Atoms (fractional coordinates):
1 Cs 0.0000 0.0000 0.0000
2 Cs 0.0990 0.5981 0.1979
3 Cs 0.1940 0.1940 0.3934
4 Cs 0.4019 0.9010 0.8021
5 Cs 0.5981 0.0990 0.1979
6 Cs 0.8060 0.8060 0.6066
7 Cs 0.9010 0.4019 0.8021
8 Br 0.5000 0.5000 0.0000
9 Cl 0.3236 0.3236 0.6452
10 Cl 0.6764 0.6764 0.3548
11 O 0.1027 0.1027 0.2075
12 O 0.8973 0.8973 0.7925

---

No. 2
First-principles (PBE) data for TiFeNiP after structural relaxation, as listed in the Alexandria database.

raw total energy = -7.43 eV per atom
ΔH_f (0 K) = -0.54 eV/atom

abc: 3.5160 4.7158 4.7158
angles: 41.70 90.00 90.00
Atoms (fractional coordinates):
1 Ti 0.0000 0.0000 0.0000
2 Fe 0.5000 0.3065 0.3065
3 Ni 0.0000 0.7273 0.7273
4 P 0.5000 0.5779 0.5779

---

No. 3
First-principles (PBE) data for RbNaOsCl6 after structural relaxation, as listed in the Alexandria database.

raw total energy = -3.81 eV per atom
uncorrected formation energy = -1.075 eV/atom

abc: 6.9029 6.9029 7.0277
angles: 90.00 90.00 120.00
Atoms (fractional coordinates):
1 Rb 0.0000 0.0000 0.0000
2 Na 0.3333 0.6667 0.5000
3 Os 0.6667 0.3333 0.5000
4 Cl 0.3935 0.0508 0.6942
5 Cl 0.3935 0.3427 0.3058
6 Cl 0.6573 0.0508 0.3058
7 Cl 0.6573 0.6065 0.6942
8 Cl 0.9492 0.3427 0.6942
9 Cl 0.9492 0.6065 0.3058

---

No. 4
First-principles (PBE) data for BeAl2Pd3 after structural relaxation, as listed in the Alexandria database.

raw total energy = -5.21 eV per atom
ΔH_f (0 K) = -0.75 eV/atom

abc: 2.9669 2.9669 9.2304
angles: 90.00 90.00 90.00
Atoms (fractional coordinates):
1 Be 0.0000 0.0000 0.0000
2 Al 0.0000 0.0000 0.3230
3 Al 0.0000 0.0000 0.6770
4 Pd 0.5000 0.5000 0.1513
5 Pd 0.5000 0.5000 0.5000
6 Pd 0.5000 0.5000 0.8487

---

No. 5
First-principles (PBE) data for LaAg2Os after structural relaxation, as listed in the Alexandria database.

raw total energy = -4.85 eV per atom
ΔH_f (0 K) = 0.62 eV/atom

abc: 3.0282 3.0282 8.6985
angles: 90.00 90.00 90.00
Atoms (fractional coordinates):
1 La 0.0000 0.0000 0.0000
2 Ag 0.5000 0.5000 0.2882
3 Ag 0.5000 0.5000 0.7118
4 Os 0.0000 0.0000 0.5000

---

No. 6
First-principles (PBE) data for La2ThHg3 after structural relaxation, as listed in the Alexandria database.

raw total energy = -3.42 eV per atom
ΔH_f (0 K) = -0.39 eV/atom

abc: 3.8716 3.8716 11.6918
angles: 90.00 90.00 90.00
Atoms (fractional coordinates):
1 La 0.0000 0.0000 0.1700
2 La 0.0000 0.0000 0.8300
3 Th 0.0000 0.0000 0.5000
4 Hg 0.5000 0.5000 0.0000
5 Hg 0.5000 0.5000 0.3385
6 Hg 0.5000 0.5000 0.6615

---

No. 7
First-principles (PBE) data for MoP4W after structural relaxation, as listed in the Alexandria database.

raw total energy = -6.77 eV per atom
ΔH_f (0 K) = 0.80 eV/atom

abc: 4.9049 4.9049 4.9049
angles: 60.00 60.00 60.00
Atoms (fractional coordinates):
1 Mo 0.0000 0.0000 0.0000
2 P 0.1254 0.6249 0.6249
3 P 0.6249 0.1254 0.6249
4 P 0.6249 0.6249 0.1254
5 P 0.6249 0.6249 0.6249
6 W 0.2500 0.2500 0.2500

---

No. 8
First-principles (PBE) data for Pm2CrGe4Pt3 after structural relaxation, as listed in the Alexandria database.

raw total energy = -6.38 eV per atom
ΔH_f (0 K) = -0.81 eV/atom

abc: 4.2241 4.2241 10.6702
angles: 90.00 90.00 90.00
Atoms (fractional coordinates):
1 Pm 0.0000 0.5000 0.2491
2 Pm 0.5000 0.0000 0.7509
3 Cr 0.0000 0.0000 0.5000
4 Ge 0.0000 0.0000 0.0000
5 Ge 0.0000 0.5000 0.6346
6 Ge 0.5000 0.0000 0.3654
7 Ge 0.5000 0.5000 0.0000
8 Pt 0.0000 0.5000 0.8680
9 Pt 0.5000 0.0000 0.1320
10 Pt 0.5000 0.5000 0.5000

---

No. 9
First-principles (PBE) data for SrSc2Ta after structural relaxation, as listed in the Alexandria database.

raw total energy = -6.07 eV per atom
ΔH_f (0 K) = 0.48 eV/atom

abc: 3.1109 4.9790 7.0874
angles: 90.00 101.11 90.00
Atoms (fractional coordinates):
1 Sr 0.0000 0.0000 0.0000
2 Sc 0.2750 0.0000 0.4655
3 Sc 0.3574 0.5000 0.6843
4 Ta 0.6977 0.5000 0.3206

---

No. 10
First-principles (PBE) data for ScCdSn2 after structural relaxation, as listed in the Alexandria database.

raw total energy = -3.98 eV per atom
ΔH_f (0 K) = -0.17 eV/atom

abc: 6.5800 6.5800 6.5800
angles: 39.97 39.97 39.97
Atoms (fractional coordinates):
1 Sc 0.0000 0.0000 0.0000
2 Cd 0.1764 0.1764 0.1764
3 Sn 0.4206 0.4206 0.4206
4 Sn 0.5904 0.5904 0.5904

---

No. 11
First-principles (PBE) data for Sc2AgGe after structural relaxation, as listed in the Alexandria database.

raw total energy = -5.54 eV per atom
ΔH_f (0 K) = -0.50 eV/atom

abc: 4.6385 4.6385 3.6322
angles: 90.00 90.00 90.00
Atoms (fractional coordinates):
1 Sc 0.0000 0.5000 0.0000
2 Sc 0.5000 0.0000 0.0000
3 Ag 0.0000 0.0000 0.5000
4 Ge 0.5000 0.5000 0.5000

---

No. 12
First-principles (PBE) data for MnCd3Te after structural relaxation, as listed in the Alexandria database.

raw total energy = -2.51 eV per atom
uncorrected formation energy = 0.498 eV/atom

abc: 5.2301 5.2301 5.2301
angles: 90.00 90.00 90.00
Atoms (fractional coordinates):
1 Mn 0.0000 0.0000 0.0000
2 Cd 0.0000 0.0000 0.5000
3 Cd 0.0000 0.5000 0.0000
4 Cd 0.5000 0.0000 0.0000
5 Te 0.5000 0.5000 0.5000

---

No. 13
First-principles (PBE) data for Na3BSe after structural relaxation, as listed in the Alexandria database.

raw total energy = -2.40 eV per atom
uncorrected formation energy = 0.419 eV/atom

abc: 5.4490 5.4490 5.4490
angles: 90.00 90.00 90.00
Atoms (fractional coordinates):
1 Na 0.0000 0.0000 0.5000
2 Na 0.0000 0.5000 0.0000
3 Na 0.5000 0.0000 0.0000
4 B 0.5000 0.5000 0.5000
5 Se 0.0000 0.0000 0.0000

---

No. 14
First-principles (PBE) data for LuCoH2 after structural relaxation, as listed in the Alexandria database.

raw total energy = -4.86 eV per atom

abc: 4.4009 4.4009 4.4009
angles: 49.10 49.10 49.10
Atoms (fractional coordinates):
1 Lu 0.0000 0.0000 0.0000
2 Co 0.5000 0.5000 0.5000
3 H 0.3666 0.3666 0.3666
4 H 0.6334 0.6334 0.6334

---

No. 15
First-principles (PBE) data for Pm6Te2S3 after structural relaxation, as listed in the Alexandria database.

raw total energy = -5.88 eV per atom
uncorrected formation energy = -1.587 eV/atom

abc: 20.9630 20.9630 20.9630
angles: 11.24 11.24 11.24
Atoms (fractional coordinates):
1 Pm 0.0765 0.0765 0.0765
2 Pm 0.1893 0.1893 0.1893
3 Pm 0.3597 0.3597 0.3597
4 Pm 0.6403 0.6403 0.6403
5 Pm 0.8107 0.8107 0.8107
6 Pm 0.9235 0.9235 0.9235
7 Te 0.4433 0.4433 0.4433
8 Te 0.5567 0.5567 0.5567
9 S 0.0000 0.0000 0.0000
10 S 0.2818 0.2818 0.2818
11 S 0.7182 0.7182 0.7182

---

No. 16
First-principles (PBE) data for Ga2RhI after structural relaxation, as listed in the Alexandria database.

raw total energy = -3.19 eV per atom
uncorrected formation energy = 0.547 eV/atom

abc: 4.8870 4.8870 4.8870
angles: 60.00 60.00 60.00
Atoms (fractional coordinates):
1 Ga 0.2500 0.2500 0.2500
2 Ga 0.7500 0.7500 0.7500
3 Rh 0.0000 0.0000 0.0000
4 I 0.5000 0.5000 0.5000

---

No. 17
First-principles (PBE) data for Mg2RhAu after structural relaxation, as listed in the Alexandria database.

raw total energy = -4.03 eV per atom
ΔH_f (0 K) = -0.58 eV/atom

abc: 3.2770 3.2770 6.1034
angles: 90.00 90.00 90.00
Atoms (fractional coordinates):
1 Mg 0.0000 0.0000 0.2333
2 Mg 0.0000 0.0000 0.7667
3 Rh 0.5000 0.5000 0.0000
4 Au 0.5000 0.5000 0.5000

---

No. 18
First-principles (PBE) data for CeTmMnAg after structural relaxation, as listed in the Alexandria database.

raw total energy = -5.56 eV per atom
ΔH_f (0 K) = 0.05 eV/atom

abc: 5.0572 5.0572 5.0572
angles: 60.00 60.00 60.00
Atoms (fractional coordinates):
1 Ce 0.0000 0.0000 0.0000
2 Tm 0.5000 0.5000 0.5000
3 Mn 0.2500 0.2500 0.2500
4 Ag 0.7500 0.7500 0.7500

---

No. 19
First-principles (PBE) data for Th3RePb after structural relaxation, as listed in the Alexandria database.

raw total energy = -7.72 eV per atom
ΔH_f (0 K) = -0.04 eV/atom

abc: 8.4524 8.4524 5.3143
angles: 90.00 90.00 124.98
Atoms (fractional coordinates):
1 Th 0.0000 0.5000 0.5000
2 Th 0.1272 0.8728 0.0000
3 Th 0.3041 0.3041 0.5000
4 Th 0.5000 0.0000 0.5000
5 Th 0.6959 0.6959 0.5000
6 Th 0.8728 0.1272 0.0000
7 Re 0.1060 0.8940 0.5000
8 Re 0.8940 0.1060 0.5000
9 Pb 0.3618 0.6382 0.0000
10 Pb 0.6382 0.3618 0.0000

---

No. 20
First-principles (PBE) data for KPbCl2 after structural relaxation, as listed in the Alexandria database.

raw total energy = -3.37 eV per atom
uncorrected formation energy = -1.249 eV/atom

abc: 3.6787 3.8508 8.3572
angles: 90.00 90.00 90.00
Atoms (fractional coordinates):
1 K 0.0000 0.0000 0.0000
2 Pb 0.5000 0.0000 0.5000
3 Cl 0.5000 0.5000 0.2184
4 Cl 0.5000 0.5000 0.7816

---

Number 1: volume 41.82 Å³/atom. Number 2: volume 13.00 Å³/atom. Number 3: volume 32.22 Å³/atom. Number 4: volume 13.54 Å³/atom. Number 5: volume 19.94 Å³/atom. Number 6: volume 29.21 Å³/atom. Number 7: volume 13.91 Å³/atom. Number 8: volume 19.04 Å³/atom. Number 9: volume 26.93 Å³/atom. Number 10: volume 26.48 Å³/atom. Number 11: volume 19.54 Å³/atom. Number 12: volume 28.61 Å³/atom. Number 13: volume 32.36 Å³/atom. Number 14: volume 11.18 Å³/atom. Number 15: volume 27.65 Å³/atom. Number 16: volume 20.63 Å³/atom. Number 17: volume 16.39 Å³/atom. Number 18: volume 22.86 Å³/atom. Number 19: volume 31.11 Å³/atom. Number 20: volume 29.60 Å³/atom.